1.
AcDyEr after structural relaxation. Source: OQMD, functional GGA-PBE.

- symmetry = F-43m (216)
- polymorph energy (0 for the lowest one) (meV per atom) = 163
- ΔE_f (eV/atom) = 0.85

Lattice parameters (Å, degrees): 5.6360 5.6360 5.6360 60.00 60.00 60.00
Fractional positions:
Ac 0.0000 0.0000 0.0000
Dy 0.7500 0.7500 0.7500
Er 0.2500 0.2500 0.2500

***

2.
KPtO3 after structural relaxation. Source: OQMD, functional GGA-PBE.

- symmetry = P4mm (99)
- energy (Ha/atom) = -0.182

Lattice parameters (Å, degrees): 3.9091 3.9091 4.2811 90.00 90.00 90.00
Fractional positions:
K 0.0000 0.0000 0.0000
Pt 0.5000 0.5000 0.4722
O 0.0000 0.5000 0.5532
O 0.5000 0.0000 0.5532
O 0.5000 0.5000 0.0203

***

3.
Rb2LiCoBr6 after structural relaxation. Source: OQMD, functional GGA-PBE.

- symmetry = R-3m (166)
- energy (Ha/atom) = -0.118

Lattice parameters (Å, degrees): 12.9886 12.9886 12.9886 33.02 33.02 33.02
Fractional positions:
Rb 0.1237 0.1237 0.1237
Rb 0.2946 0.2946 0.2946
Rb 0.7054 0.7054 0.7054
Rb 0.8763 0.8763 0.8763
Li 0.4169 0.4169 0.4169
Li 0.5831 0.5831 0.5831
Co 0.0000 0.0000 0.0000
Co 0.5000 0.5000 0.5000
Br 0.1503 0.6177 0.6177
Br 0.1938 0.1938 0.7278
Br 0.1938 0.7278 0.1938
Br 0.2722 0.8062 0.8062
Br 0.3823 0.3823 0.8497
Br 0.3823 0.8497 0.3823
Br 0.6177 0.1503 0.6177
Br 0.6177 0.6177 0.1503
Br 0.7278 0.1938 0.1938
Br 0.8062 0.2722 0.8062
Br 0.8062 0.8062 0.2722
Br 0.8497 0.3823 0.3823

***

4.
Ag124Sn after structural relaxation. Source: OQMD, functional GGA-PBE.

- symmetry = Fm-3m (225)
- energy (Ha/atom) = -0.104

Lattice parameters (Å, degrees): 14.5405 14.5405 14.5405 60.00 60.00 60.00
Fractional positions:
Ag 0.0994 0.5000 0.5000
Ag 0.0992 0.5000 0.7004
Ag 0.0994 0.5000 0.9006
Ag 0.0992 0.7004 0.5000
Ag 0.0992 0.7004 0.7004
Ag 0.0994 0.9006 0.5000
Ag 0.1000 0.1000 0.1000
Ag 0.1000 0.1000 0.2999
Ag 0.1000 0.1000 0.5000
Ag 0.1000 0.1000 0.7000
Ag 0.0999 0.0999 0.9001
Ag 0.1000 0.2999 0.1000
Ag 0.1003 0.2999 0.2999
Ag 0.1000 0.2999 0.5000
Ag 0.0997 0.2999 0.7001
Ag 0.0997 0.2999 0.9003
Ag 0.1000 0.5000 0.1000
Ag 0.1000 0.5000 0.2999
Ag 0.1000 0.7000 0.1000
Ag 0.0997 0.7001 0.2999
Ag 0.0997 0.7001 0.9003
Ag 0.0999 0.9001 0.0999
Ag 0.0997 0.9003 0.2999
Ag 0.0997 0.9003 0.7001
Ag 0.0999 0.9001 0.9001
Ag 0.2976 0.5000 0.5000
Ag 0.2976 0.5000 0.7024
Ag 0.2976 0.7024 0.5000
Ag 0.2992 0.2992 0.7008
Ag 0.2992 0.7008 0.2992
Ag 0.2992 0.7008 0.7008
Ag 0.2999 0.1000 0.1000
Ag 0.2999 0.1003 0.2999
Ag 0.2999 0.1000 0.5000
Ag 0.2999 0.0997 0.7001
Ag 0.2999 0.0997 0.9003
Ag 0.2999 0.2999 0.1003
Ag 0.2999 0.2999 0.2999
Ag 0.2996 0.2996 0.5000
Ag 0.2996 0.2996 0.9008
Ag 0.2999 0.5000 0.1000
Ag 0.2996 0.5000 0.2996
Ag 0.2996 0.5000 0.9008
Ag 0.2999 0.7001 0.0997
Ag 0.2999 0.7001 0.9003
Ag 0.2999 0.9003 0.0997
Ag 0.2999 0.9003 0.7001
Ag 0.3000 0.9000 0.9000
Ag 0.2996 0.9008 0.2996
Ag 0.2996 0.9008 0.5000
Ag 0.5000 0.0994 0.5000
Ag 0.5000 0.0992 0.7004
Ag 0.5000 0.0994 0.9006
Ag 0.5000 0.1000 0.1000
Ag 0.5000 0.1000 0.2999
Ag 0.5000 0.2976 0.5000
Ag 0.5000 0.2976 0.7024
Ag 0.5000 0.2999 0.1000
Ag 0.5000 0.2996 0.2996
Ag 0.5000 0.2996 0.9008
Ag 0.5000 0.5000 0.0994
Ag 0.5000 0.5000 0.2976
Ag 0.5000 0.5000 0.7024
Ag 0.5000 0.5000 0.9006
Ag 0.5000 0.7004 0.0992
Ag 0.5000 0.7004 0.7004
Ag 0.5000 0.7001 0.9000
Ag 0.5000 0.7024 0.2976
Ag 0.5000 0.7024 0.5000
Ag 0.5000 0.9000 0.7001
Ag 0.5000 0.9000 0.9000
Ag 0.5000 0.9006 0.0994
Ag 0.5000 0.9008 0.2996
Ag 0.5000 0.9006 0.5000
Ag 0.7004 0.0992 0.5000
Ag 0.7004 0.0992 0.7004
Ag 0.7000 0.1000 0.1000
Ag 0.7001 0.0997 0.2999
Ag 0.7001 0.0997 0.9003
Ag 0.7001 0.2999 0.0997
Ag 0.7001 0.2999 0.9003
Ag 0.7004 0.5000 0.0992
Ag 0.7004 0.5000 0.7004
Ag 0.7001 0.5000 0.9000
Ag 0.7004 0.7004 0.0992
Ag 0.7004 0.7004 0.5000
Ag 0.7001 0.7001 0.7001
Ag 0.7001 0.7001 0.8997
Ag 0.7001 0.9003 0.0997
Ag 0.7001 0.9003 0.2999
Ag 0.7001 0.9000 0.5000
Ag 0.7001 0.8997 0.7001
Ag 0.7001 0.9000 0.9000
Ag 0.7008 0.2992 0.2992
Ag 0.7008 0.2992 0.7008
Ag 0.7008 0.7008 0.2992
Ag 0.7024 0.2976 0.5000
Ag 0.7024 0.5000 0.2976
Ag 0.7024 0.5000 0.5000
Ag 0.9001 0.0999 0.0999
Ag 0.9003 0.0997 0.2999
Ag 0.9003 0.0997 0.7001
Ag 0.9001 0.0999 0.9001
Ag 0.9003 0.2999 0.0997
Ag 0.9003 0.2999 0.7001
Ag 0.9000 0.3000 0.9000
Ag 0.9000 0.5000 0.7001
Ag 0.9000 0.5000 0.9000
Ag 0.9003 0.7001 0.0997
Ag 0.9003 0.7001 0.2999
Ag 0.9000 0.7001 0.5000
Ag 0.8997 0.7001 0.7001
Ag 0.9000 0.7001 0.9000
Ag 0.9001 0.9001 0.0999
Ag 0.9000 0.9000 0.3000
Ag 0.9000 0.9000 0.5000
Ag 0.9000 0.9000 0.7001
Ag 0.9000 0.9000 0.9000
Ag 0.9006 0.0994 0.5000
Ag 0.9008 0.2996 0.2996
Ag 0.9008 0.2996 0.5000
Ag 0.9006 0.5000 0.0994
Ag 0.9008 0.5000 0.2996
Ag 0.9006 0.5000 0.5000
Sn 0.5000 0.5000 0.5000

***

5.
SrGdAuSeS2 after structural relaxation. Source: OQMD, functional GGA-PBE.

- symmetry = Cmcm (63)
- energy (Ha/atom) = -0.186

Lattice parameters (Å, degrees): 7.1346 7.1346 10.6744 90.00 90.00 146.97
Fractional positions:
Sr 0.2336 0.7664 0.7500
Sr 0.7664 0.2336 0.2500
Gd 0.0000 0.0000 0.0000
Gd 0.0000 0.0000 0.5000
Au 0.4676 0.5324 0.2500
Au 0.5324 0.4676 0.7500
Se 0.0961 0.9039 0.2500
Se 0.9039 0.0961 0.7500
S 0.3639 0.6361 0.0591
S 0.3639 0.6361 0.4409
S 0.6361 0.3639 0.5591
S 0.6361 0.3639 0.9409

***

6.
Lu3ZrTe2C2 after structural relaxation. Source: OQMD, functional GGA-PBE.

- symmetry = P3m1 (156)
- energy (Ha/atom) = -0.247

Lattice parameters (Å, degrees): 3.6782 3.6782 13.6552 90.00 90.00 120.00
Fractional positions:
Lu 0.0000 0.0000 0.0000
Lu 0.0000 0.0000 0.3181
Lu 0.3333 0.6667 0.5026
Zr 0.3333 0.6667 0.8202
Te 0.0000 0.0000 0.6683
Te 0.3333 0.6667 0.1584
C 0.6667 0.3333 0.4120
C 0.6667 0.3333 0.9041

***

7.
KHg3PbS4 after structural relaxation. Source: OQMD, functional GGA-PBE.

- symmetry = P-43m (215)
- energy (Ha/atom) = -0.096

Lattice parameters (Å, degrees): 6.6826 6.6826 6.6826 90.00 90.00 90.00
Fractional positions:
K 0.0000 0.0000 0.0000
Hg 0.0000 0.5000 0.5000
Hg 0.5000 0.0000 0.5000
Hg 0.5000 0.5000 0.0000
Pb 0.5000 0.5000 0.5000
S 0.2618 0.2618 0.2618
S 0.2618 0.7382 0.7382
S 0.7382 0.2618 0.7382
S 0.7382 0.7382 0.2618

***

8.
TaCoCuAs after structural relaxation. Source: OQMD, functional GGA-PBE.

- symmetry = F-43m (216)
- polymorph energy (0 for the lowest one) (meV per atom) = 0

Lattice parameters (Å, degrees): 4.3030 4.3030 4.3030 60.00 60.00 60.00
Fractional positions:
Ta 0.0000 0.0000 0.0000
Co 0.7500 0.7500 0.7500
Cu 0.5000 0.5000 0.5000
As 0.2500 0.2500 0.2500

***

9.
Hf2ZnPb2 after structural relaxation. Source: OQMD, functional GGA-PBE.

- symmetry = I4/mmm (139)
- polymorph energy (0 for the lowest one) (meV per atom) = 0

Lattice parameters (Å, degrees): 7.8056 7.8056 7.8056 148.59 148.59 45.01
Fractional positions:
Hf 0.0947 0.0947 0.0000
Hf 0.9053 0.9053 0.0000
Zn 0.5000 0.5000 0.0000
Pb 0.2500 0.7500 0.5000
Pb 0.7500 0.2500 0.5000

***

10.
ScZnCuSn after structural relaxation. Source: OQMD, functional GGA-PBE.

- symmetry = F-43m (216)
- polymorph energy (0 for the lowest one) (meV per atom) = 76

Lattice parameters (Å, degrees): 4.6755 4.6755 4.6755 60.00 60.00 60.00
Fractional positions:
Sc 0.0000 0.0000 0.0000
Zn 0.5000 0.5000 0.5000
Cu 0.2500 0.2500 0.2500
Sn 0.7500 0.7500 0.7500

***

11.
ZnNiHgAs after structural relaxation. Source: OQMD, functional GGA-PBE.

- symmetry = F-43m (216)
- energy (Ha/atom) = -0.095

Lattice parameters (Å, degrees): 4.5929 4.5929 4.5929 60.00 60.00 60.00
Fractional positions:
Zn 0.0000 0.0000 0.0000
Ni 0.7500 0.7500 0.7500
Hg 0.2500 0.2500 0.2500
As 0.5000 0.5000 0.5000

***

12.
NaMgRe after structural relaxation. Source: OQMD, functional GGA-PBE.

- symmetry = F-43m (216)
- energy (Ha/atom) = -0.124

Lattice parameters (Å, degrees): 4.7028 4.7028 4.7028 60.00 60.00 60.00
Fractional positions:
Na 0.0000 0.0000 0.0000
Mg 0.5000 0.5000 0.5000
Re 0.7500 0.7500 0.7500

***

13.
Lu4PbAuN2 after structural relaxation. Source: OQMD, functional GGA-PBE.

- symmetry = P-6m2 (187)
- energy (Ha/atom) = -0.234

Lattice parameters (Å, degrees): 3.4606 3.4606 14.6591 90.00 90.00 120.00
Fractional positions:
Lu 0.0000 0.0000 0.1470
Lu 0.0000 0.0000 0.8530
Lu 0.6667 0.3333 0.3255
Lu 0.6667 0.3333 0.6745
Pb 0.0000 0.0000 0.5000
Au 0.6667 0.3333 0.0000
N 0.3333 0.6667 0.2470
N 0.3333 0.6667 0.7530

***

14.
LuBeTlNi after structural relaxation. Source: OQMD, functional GGA-PBE.

- symmetry = F-43m (216)
- polymorph energy (0 for the lowest one) (meV per atom) = 148

Lattice parameters (Å, degrees): 4.6228 4.6228 4.6228 60.00 60.00 60.00
Fractional positions:
Lu 0.0000 0.0000 0.0000
Be 0.5000 0.5000 0.5000
Tl 0.2500 0.2500 0.2500
Ni 0.7500 0.7500 0.7500

***

15.
Be4Zn after structural relaxation. Source: OQMD, functional GGA-PBE.

- symmetry = P4/nmm (129)
- energy (Ha/atom) = -0.109

Lattice parameters (Å, degrees): 3.5865 3.5865 8.0838 90.00 90.00 90.00
Fractional positions:
Be 0.2500 0.2500 0.0095
Be 0.2500 0.7500 0.1523
Be 0.2500 0.7500 0.5000
Be 0.2500 0.7500 0.8477
Be 0.7500 0.2500 0.1523
Be 0.7500 0.2500 0.5000
Be 0.7500 0.2500 0.8477
Be 0.7500 0.7500 0.9905
Zn 0.2500 0.2500 0.3245
Zn 0.7500 0.7500 0.6755

***

16.
SmOsW after structural relaxation. Source: OQMD, functional GGA-PBE.

- symmetry = F-43m (216)
- polymorph energy (0 for the lowest one) (meV per atom) = 1186
- ΔE_f (eV/atom) = 1.99

Lattice parameters (Å, degrees): 4.5357 4.5357 4.5357 60.00 60.00 60.00
Fractional positions:
Sm 0.0000 0.0000 0.0000
Os 0.7500 0.7500 0.7500
W 0.2500 0.2500 0.2500

***

17.
Y3Ho5 after structural relaxation. Source: OQMD, functional GGA-PBE.

- symmetry = P-6m2 (187)
- ΔE_f (eV/atom) = 0.00

Lattice parameters (Å, degrees): 7.2326 7.2326 5.6154 90.00 90.00 120.00
Fractional positions:
Y 0.0002 0.5001 0.0000
Y 0.4999 0.9998 0.0000
Y 0.4999 0.5001 0.0000
Ho 0.0000 0.0000 0.0000
Ho 0.3320 0.1660 0.5000
Ho 0.3333 0.6667 0.5000
Ho 0.8340 0.1660 0.5000
Ho 0.8340 0.6680 0.5000

***

18.
NbInPb2O6 after structural relaxation. Source: OQMD, functional GGA-PBE.

- symmetry = I4/m (87)
- energy (Ha/atom) = -0.247

Lattice parameters (Å, degrees): 5.8245 5.8245 5.8245 120.75 120.75 88.70
Fractional positions:
Nb 0.0000 0.0000 0.0000
In 0.5000 0.5000 0.0000
Pb 0.2500 0.7500 0.5000
Pb 0.7500 0.2500 0.5000
O 0.1853 0.7041 0.8894
O 0.2412 0.2412 0.0000
O 0.2959 0.1853 0.4813
O 0.7041 0.8147 0.5187
O 0.7588 0.7588 0.0000
O 0.8147 0.2959 0.1106

***

19.
Zr4In2AsC after structural relaxation. Source: OQMD, functional GGA-PBE.

- symmetry = P-3m1 (164)
- energy (Ha/atom) = -0.269

Lattice parameters (Å, degrees): 3.4934 3.4934 15.5702 90.00 90.00 120.00
Fractional positions:
Zr 0.3333 0.6667 0.0781
Zr 0.3333 0.6667 0.3926
Zr 0.6667 0.3333 0.6074
Zr 0.6667 0.3333 0.9219
In 0.3333 0.6667 0.7638
In 0.6667 0.3333 0.2362
As 0.0000 0.0000 0.5000
C 0.0000 0.0000 0.0000

***

20.
NdYAl2 after structural relaxation. Source: OQMD, functional GGA-PBE.

- symmetry = Amm2 (38)
- energy (Ha/atom) = -0.186

Lattice parameters (Å, degrees): 4.2108 6.1058 6.1058 43.12 90.00 90.00
Fractional positions:
Nd 0.0000 0.0000 0.0000
Y 0.5000 0.2804 0.2804
Al 0.0000 0.7152 0.7152
Al 0.5000 0.5720 0.5720

***

Which theoretical density belongs to each record? In order, 7.303 7.162 4.109 10.308 6.558 9.293 5.433 11.152 10.792 6.723 9.686 5.272 12.364 10.627 3.241 13.198 7.124 8.635 6.877 4.443 g cm⁻³.